The following is a PBE calculation of RbYPuI6 after structural relaxation, from Alexandria via LeMat-Bulk.

## Properties
Mass density = 4.26 g/cm3
Formation energy from raw total energies = -11.7 eV/f.u.

Cell lengths 8.0117, 8.0117, 16.5326 Å; angles 90.00, 90.00, 120.00 degrees
Last column: nearest neighbours and their distance in Å.
Space group P-31c (No. 163)
One atom of each set of equivalent atoms:
Rb1 0.0000 0.0000 0.0000 [2 per cell]  6 I 3.74
Y1 0.3333 0.6667 0.2500 [2 per cell]  6 I 3.06
Pu1 0.3333 0.6667 0.7500 [2 per cell]  6 I 3.20
I1 0.0133 0.3721 0.1404 [12 per cell]  1 Y 3.06, 1 Pu 3.20